Record 1
# PBE-GGA NaCCl2F, relaxed
# * total magnetic moment: 0.0 μB/f.u.
# * calculated density: 2.6 Mg/m³
# * SG: No. 123
# * crystal system: tetragonal
# * total DFT energy (no corrections): -3.35 eV/atom
data_NaCCl2F
_cell_length_a 4.576
_cell_length_b 3.835
_cell_length_c 4.576
_cell_angle_alpha 90.00
_cell_angle_beta 90.00
_cell_angle_gamma 90.00
_space_group_name_H-M_alt 'P 1'
_space_group_IT_number 1
loop_
_space_group_symop_operation_xyz
'x,y,z'
loop_
_atom_site_label
_atom_site_type_symbol
_atom_site_fract_x
_atom_site_fract_y
_atom_site_fract_z
F1 F 0.000 0.500 0.000
Cl1 Cl 0.500 0.000 0.000
Cl2 Cl 0.000 0.000 0.500
Na1 Na 0.500 0.500 0.500
C1 C 0.000 0.000 0.000


Record 2
# PBE-GGA Nd6C3ClF2, relaxed
# * total magnetic moment: 0.0 μB/f.u.
# * calculated density: 6.7 Mg/m³
# * SG: No. 12
# * crystal system: monoclinic
# * total DFT energy (no corrections): -6.44 eV/atom
data_Nd6C3ClF2
_cell_length_a 3.747
_cell_length_b 7.876
_cell_length_c 8.738
_cell_angle_alpha 107.06
_cell_angle_beta 102.38
_cell_angle_gamma 90.00
_space_group_name_H-M_alt 'P 1'
_space_group_IT_number 1
loop_
_space_group_symop_operation_xyz
'x,y,z'
loop_
_atom_site_label
_atom_site_type_symbol
_atom_site_fract_x
_atom_site_fract_y
_atom_site_fract_z
Nd1 Nd 0.008 0.722 0.017
Nd2 Nd 0.992 0.278 0.983
Nd3 Nd 0.659 0.603 0.318
Nd4 Nd 0.322 0.935 0.644
Nd5 Nd 0.341 0.397 0.682
Nd6 Nd 0.678 0.065 0.356
F1 F 0.824 0.652 0.647
F2 F 0.176 0.348 0.353
C1 C 0.500 0.500 0.000
C2 C 0.834 0.169 0.667
C3 C 0.166 0.831 0.333
Cl1 Cl 0.500 0.000 0.000